Record 1
A geometry-optimized H3AuS structure. Source: Alexandria via LeMat-Bulk, functional PBE.

Structure (CIF):
```
data_H3AuS
_space_group_name_H-M_alt 'P m -3 m'
_space_group_IT_number 221
_space_group_name_Hall '-P 4 2 3'
_cell_length_a 3.713
_cell_length_b 3.713
_cell_length_c 3.713
_cell_angle_alpha 90.00
_cell_angle_beta 90.00
_cell_angle_gamma 90.00
loop_
_atom_site_label
_atom_site_fract_x
_atom_site_fract_y
_atom_site_fract_z
H1 0.000 0.000 0.500
Au1 0.000 0.000 0.000
S1 0.500 0.500 0.500
```

Uncorrected energy (eV/cell): -13.304
DOS at the Fermi energy (states/eV/f.u.): 3.30
Offset from the most stable computed form (eV per atom): 0.000

***

Record 2
A geometry-optimized HfCrW structure. Source: Alexandria via LeMat-Bulk, functional PBE.

Structure (CIF):
```
data_HfCrW
_space_group_name_H-M_alt 'F m m 2'
_space_group_IT_number 42
_space_group_name_Hall 'F 2 -2'
_cell_length_a 3.186
_cell_length_b 4.713
_cell_length_c 13.073
_cell_angle_alpha 90.00
_cell_angle_beta 90.00
_cell_angle_gamma 90.00
loop_
_atom_site_label
_atom_site_fract_x
_atom_site_fract_y
_atom_site_fract_z
Hf1 0.000 0.000 0.000
Cr1 0.000 0.000 0.668
W1 0.000 0.000 0.314
```

Formation enthalpy at 0 K (meV per atom): 218
Uncorrected energy (eV/cell): -127.506
DOS at the Fermi energy (states/eV/f.u.): 3.51
Offset from the most stable computed form (eV per atom): 0.352